# PBE Cs2Ti2Te5, optimized geometry
data_Cs2Ti2Te5
_symmetry_space_group_name_H-M 'P 1'
_symmetry_Int_Tables_number 1
_symmetry_space_group_name_Hall 'P 1'
_cell_length_a 5.392
_cell_length_b 8.133
_cell_length_c 9.515
_cell_angle_alpha 97.11
_cell_angle_beta 90.00
_cell_angle_gamma 109.36
loop_
_atom_site_label
_atom_site_fract_x
_atom_site_fract_y
_atom_site_fract_z
Cs1 0.407 0.815 0.693
Cs2 0.593 0.185 0.307
Ti1 0.148 0.297 0.888
Ti2 0.852 0.703 0.112
Te1 0.310 0.619 0.064
Te2 0.690 0.381 0.936
Te3 0.124 0.247 0.620
Te4 0.876 0.753 0.380
Te5 0.000 0.000 0.000
# Formation energy without anion corrections = -680 kJ/mol of formula units
# Size of the total moment = 0.00 μB per cell


# PBE CsTiTe2, optimized geometry
data_CsTiTe2
_symmetry_space_group_name_H-M 'P 1'
_symmetry_Int_Tables_number 1
_symmetry_space_group_name_Hall 'P 1'
_cell_length_a 8.307
_cell_length_b 8.307
_cell_length_c 7.815
_cell_angle_alpha 57.90
_cell_angle_beta 57.90
_cell_angle_gamma 90.00
loop_
_atom_site_label
_atom_site_fract_x
_atom_site_fract_y
_atom_site_fract_z
Cs1 0.000 0.000 0.000
Cs2 0.750 0.250 0.500
Te1 0.506 0.125 0.250
Te2 0.244 0.625 0.250
Te3 0.375 0.494 0.750
Te4 0.875 0.756 0.750
Ti1 0.500 0.500 0.000
Ti2 0.250 0.750 0.500
# Formation energy without anion corrections = -286 kJ/mol of formula units
# Size of the total moment = 2.00 μB per cell


# PBE Cs8TiTe6, optimized geometry
data_Cs8TiTe6
_symmetry_space_group_name_H-M 'P 1'
_symmetry_Int_Tables_number 1
_symmetry_space_group_name_Hall 'P 1'
_cell_length_a 9.955
_cell_length_b 10.790
_cell_length_c 15.619
_cell_angle_alpha 90.00
_cell_angle_beta 90.00
_cell_angle_gamma 90.00
loop_
_atom_site_label
_atom_site_fract_x
_atom_site_fract_y
_atom_site_fract_z
Cs1 0.366 0.000 0.987
Cs2 0.634 0.500 0.487
Cs3 0.829 0.771 0.106
Cs4 0.171 0.729 0.606
Cs5 0.171 0.271 0.606
Cs6 0.829 0.229 0.106
Cs7 0.580 0.765 0.785
Cs8 0.420 0.735 0.285
Cs9 0.420 0.265 0.285
Cs10 0.580 0.235 0.785
Cs11 0.020 0.803 0.841
Cs12 0.980 0.697 0.341
Cs13 0.980 0.303 0.341
Cs14 0.020 0.197 0.841
Cs15 0.480 0.000 0.530
Cs16 0.520 0.500 0.030
Ti1 0.865 0.000 0.475
Ti2 0.135 0.500 0.975
Te1 0.733 0.000 0.937
Te2 0.267 0.500 0.437
Te3 0.307 0.000 0.746
Te4 0.693 0.500 0.246
Te5 0.123 0.000 0.436
Te6 0.877 0.500 0.936
Te7 0.726 0.000 0.330
Te8 0.274 0.500 0.830
Te9 0.198 0.699 0.067
Te10 0.802 0.801 0.567
Te11 0.802 0.199 0.567
Te12 0.198 0.301 0.067
# Formation energy without anion corrections = -1444 kJ/mol of formula units
# Size of the total moment = 0.00 μB per cell


# PBE Cs3TiTe, optimized geometry
data_Cs3TiTe
_symmetry_space_group_name_H-M 'P 1'
_symmetry_Int_Tables_number 1
_symmetry_space_group_name_Hall 'P 1'
_cell_length_a 7.358
_cell_length_b 7.358
_cell_length_c 7.358
_cell_angle_alpha 90.00
_cell_angle_beta 90.00
_cell_angle_gamma 90.00
loop_
_atom_site_label
_atom_site_fract_x
_atom_site_fract_y
_atom_site_fract_z
Cs1 0.000 0.500 0.000
Cs2 0.000 0.000 0.500
Cs3 0.500 0.000 0.000
Te1 0.000 0.000 0.000
Ti1 0.500 0.500 0.500
# Energy above the most stable polymorph in this dataset = 0 meV/atom
# Formation energy without anion corrections = 138 kJ/mol of formula units
# Size of the total moment = 3.00 μB per cell


What is the formation energy without anion corrections in the second record? -286 kJ/mol of formula units


What is the formula in the second record? CsTiTe2


Please write out number 4 again, unchanged.
# PBE Cs3TiTe, optimized geometry
data_Cs3TiTe
_symmetry_space_group_name_H-M 'P 1'
_symmetry_Int_Tables_number 1
_symmetry_space_group_name_Hall 'P 1'
_cell_length_a 7.358
_cell_length_b 7.358
_cell_length_c 7.358
_cell_angle_alpha 90.00
_cell_angle_beta 90.00
_cell_angle_gamma 90.00
loop_
_atom_site_label
_atom_site_fract_x
_atom_site_fract_y
_atom_site_fract_z
Cs1 0.000 0.500 0.000
Cs2 0.000 0.000 0.500
Cs3 0.500 0.000 0.000
Te1 0.000 0.000 0.000
Ti1 0.500 0.500 0.500
# Energy above the most stable polymorph in this dataset = 0 meV/atom
# Formation energy without anion corrections = 138 kJ/mol of formula units
# Size of the total moment = 3.00 μB per cell